VASP calculation (PBE-GGA) on a geometry-optimized MnSb6Ir structure.

Geometry as POSCAR:
```
MnSb6Ir
1.0
1.3368 7.8798 -1.4863
-0.7585 -4.0037 -7.0344
-6.8179 -0.8262 4.3230
Sb Ir Mn
12 2 2
Direct
0.6641 0.8173 0.1575
0.1529 0.6616 0.8145
0.4934 0.1567 0.3400
0.1578 0.3388 0.4966
0.6599 0.5066 0.8425
0.8471 0.3384 0.1855
0.1833 0.8466 0.3400
0.3401 0.4934 0.1575
0.8167 0.1534 0.6600
0.3359 0.1827 0.8425
0.8422 0.6612 0.5034
0.5066 0.8433 0.6600
0.0000 0.5000 0.0000
0.5000 0.0000 0.0000
0.0000 0.0000 0.5000
0.5000 0.5000 0.5000
```

Raw formation energy = -0.154 eV/atom
Total magnetic moment = 3.99 Bohr magnetons per cell
Crystal system = monoclinic